A plane-wave DFT calculation with PBE-GGA was carried out for a relaxed structure of TeAs2Os.

Summary:
The density of states at the Fermi level is 0.7130 states/eV per atom. The calculated total energy is -5.50 eV per atom.

Unit cell a=6.185 b=6.185 c=6.185 alpha=151.27 beta=132.97 gamma=56.05
Element x y z (fractional)
Te 0.000 0.000 0.000
As 0.313 0.813 0.500
As 0.687 0.187 0.500
Os 0.500 0.500 0.000

A plane-wave DFT calculation with PBE-GGA was carried out for a relaxed structure of TeAsOs2.

Summary:
The density of states at the Fermi level is 1.0785 states/eV per atom. For the energy above the most stable polymorph in this dataset, the calculation gives 445 meV per atom. The calculated total energy is -6.76 eV per atom.

Unit cell a=5.778 b=5.778 c=5.778 alpha=150.46 beta=131.79 gamma=57.56
Element x y z (fractional)
Te 0.000 0.000 0.000
As 0.698 0.198 0.500
Os 0.243 0.743 0.500
Os 0.463 0.463 0.000

A plane-wave DFT calculation with PBE-GGA was carried out for a relaxed structure of TeAs2Os.

Summary:
The density of states at the Fermi level is 0.6959 states/eV per atom. The calculated total energy is -5.27 eV per atom.

Unit cell a=3.030 b=3.030 c=9.973 alpha=90.00 beta=90.00 gamma=118.66
Element x y z (fractional)
Te 0.000 0.000 0.000
As 0.000 0.000 0.430
As 0.500 0.500 0.715
Os 0.500 0.500 0.237

A plane-wave DFT calculation with PBE-GGA was carried out for a relaxed structure of TeAs2Os.

Summary:
The density of states at the Fermi level is 0.5739 states/eV per atom. The calculated total energy is -5.77 eV per atom.

Unit cell a=3.976 b=3.976 c=8.444 alpha=103.65 beta=103.65 gamma=45.55
Element x y z (fractional)
Te 0.000 0.000 0.000
As 0.158 0.158 0.342
As 0.842 0.842 0.658
Os 0.500 0.500 0.500